[1]
This record from the Alexandria database describes a relaxed KLa2Be crystal. The functional is GGA-PBE.

* crystal system: cubic
* size of the total moment: 0.9 μB per formula unit

Cell lengths 7.833, 7.833, 7.833 Å; angles 90.00, 90.00, 90.00 degrees
Space group F-43m (No. 216)
Symmetry-distinct sites (fractional):
K 0.000 0.000 0.000 [4 per cell]
La 0.000 0.000 0.500 [4 per cell]
La 0.250 0.250 0.750 [4 per cell]
Be 0.250 0.250 0.250 [4 per cell]

=====

[2]
This record from the Alexandria database describes a relaxed K3LaBe crystal. The functional is GGA-PBE.

* crystal system: cubic
* energy above the lowest structure with this stoichiometry: 403.0 meV per atom
* size of the total moment: 4.1 μB per formula unit

Cell lengths 7.364, 7.364, 7.364 Å; angles 90.00, 90.00, 90.00 degrees
Space group Pm-3m (No. 221)
Symmetry-distinct sites (fractional):
K 0.000 0.000 0.500 [3 per cell]
La 0.000 0.000 0.000 [1 per cell]
Be 0.500 0.500 0.500 [1 per cell]

=====

[3]
This record from the Alexandria database describes a relaxed KLaBe3 crystal. The functional is GGA-PBE.

* crystal system: cubic
* energy above the lowest structure with this stoichiometry: 107.1 meV per atom
* size of the total moment: 0.0 μB per formula unit

Cell lengths 4.975, 4.975, 4.975 Å; angles 90.00, 90.00, 90.00 degrees
Space group Pm-3m (No. 221)
Symmetry-distinct sites (fractional):
K 0.000 0.000 0.000 [1 per cell]
La 0.500 0.500 0.500 [1 per cell]
Be 0.000 0.000 0.500 [3 per cell]

=====

[4]
This record from the Alexandria database describes a relaxed K3LaBe crystal. The functional is GGA-PBE.

* crystal system: cubic
* energy above the lowest structure with this stoichiometry: 0.0 meV per atom
* size of the total moment: 0.3 μB per formula unit

Cell lengths 5.895, 5.895, 5.895 Å; angles 90.00, 90.00, 90.00 degrees
Space group Pm-3m (No. 221)
Symmetry-distinct sites (fractional):
K 0.000 0.000 0.500 [3 per cell]
La 0.500 0.500 0.500 [1 per cell]
Be 0.000 0.000 0.000 [1 per cell]

=====

Calculated electronic total energy in order - -2.872, -0.949, -1.830, -1.352 eV per atom